{
  "formula": "ScAlSb",
  "functional": "GGA-PBE",
  "state": "optimized geometry",
  "formation_energy_uncorrected_ev_per_atom": -0.32,
  "spacegroup": "I4mm, No. 107",
  "final_energy_ev_per_atom": -5.051,
  "total_magnetization_mub_per_cell": 0.00,
  "cell": [[-1.8725, 1.8725, 4.6476], [1.8725, -1.8725, 4.6476], [1.8725, 1.8725, -4.6476]],
  "species": ["Sc", "Al", "Sb"],
  "fractional_positions": [[0.0000, 0.0000, 0.0000], [0.3291, 0.3291, 0.0000], [0.6646, 0.6646, 0.0000]]
}

{
  "formula": "ScAlSb3",
  "functional": "GGA-PBE",
  "state": "optimized geometry",
  "formation_energy_uncorrected_ev_per_atom": 0.33,
  "polymorph_energy_mev_per_atom": 0,
  "spacegroup": "Pm-3m, No. 221",
  "final_energy_ev_per_atom": -4.161,
  "total_magnetization_mub_per_cell": 0.00,
  "cell": [[5.4603, 0.0000, 0.0000], [0.0000, 5.4603, 0.0000], [0.0000, 0.0000, 5.4603]],
  "species": ["Sc", "Al", "Sb", "Sb", "Sb"],
  "fractional_positions": [[0.0000, 0.0000, 0.0000], [0.5000, 0.5000, 0.5000], [0.0000, 0.0000, 0.5000], [0.0000, 0.5000, 0.0000], [0.5000, 0.0000, 0.0000]]
}

{
  "formula": "Sc4AlSb",
  "functional": "GGA-PBE",
  "state": "optimized geometry",
  "formation_energy_uncorrected_ev_per_atom": 0.04,
  "spacegroup": "F-43m, No. 216",
  "final_energy_ev_per_atom": -5.490,
  "total_magnetization_mub_per_cell": 0.00,
  "cell": [[0.0000, 4.1054, 4.1054], [4.1054, 0.0000, 4.1054], [4.1054, 4.1054, 0.0000]],
  "species": ["Sc", "Sc", "Sc", "Sc", "Al", "Sb"],
  "fractional_positions": [[0.1245, 0.1245, 0.1245], [0.1245, 0.1245, 0.6266], [0.1245, 0.6266, 0.1245], [0.6266, 0.1245, 0.1245], [0.7500, 0.7500, 0.7500], [0.5000, 0.5000, 0.5000]]
}

{
  "formula": "ScAl2Sb2",
  "functional": "GGA-PBE",
  "state": "optimized geometry",
  "formation_energy_uncorrected_ev_per_atom": -0.10,
  "polymorph_energy_mev_per_atom": 0,
  "spacegroup": "P4/mbm, No. 127",
  "final_energy_ev_per_atom": -4.513,
  "total_magnetization_mub_per_cell": 0.00,
  "cell": [[7.5644, 0.0000, 0.0000], [0.0000, 7.5644, 0.0000], [0.0000, 0.0000, 3.8739]],
  "species": ["Sc", "Sc", "Al", "Al", "Al", "Al", "Sb", "Sb", "Sb", "Sb"],
  "fractional_positions": [[0.0000, 0.0000, 0.0000], [0.5000, 0.5000, 0.0000], [0.1247, 0.3753, 0.0000], [0.3753, 0.8753, 0.0000], [0.6247, 0.1247, 0.0000], [0.8753, 0.6247, 0.0000], [0.1778, 0.6778, 0.5000], [0.3222, 0.1778, 0.5000], [0.6778, 0.8222, 0.5000], [0.8222, 0.3222, 0.5000]]
}

{
  "formula": "ScAlSb3",
  "functional": "GGA-PBE",
  "state": "optimized geometry",
  "formation_energy_uncorrected_ev_per_atom": 0.38,
  "polymorph_energy_mev_per_atom": 57,
  "spacegroup": "Pm-3m, No. 221",
  "final_energy_ev_per_atom": -4.104,
  "total_magnetization_mub_per_cell": 0.00,
  "cell": [[5.2448, 0.0000, 0.0000], [0.0000, 5.2448, 0.0000], [0.0000, 0.0000, 5.2448]],
  "species": ["Sc", "Al", "Sb", "Sb", "Sb"],
  "fractional_positions": [[0.0000, 0.0000, 0.0000], [0.5000, 0.5000, 0.5000], [0.0000, 0.5000, 0.5000], [0.5000, 0.0000, 0.5000], [0.5000, 0.5000, 0.0000]]
}

{
  "formula": "ScAl2Sb2",
  "functional": "GGA-PBE",
  "state": "optimized geometry",
  "formation_energy_uncorrected_ev_per_atom": -0.10,
  "polymorph_energy_mev_per_atom": 4,
  "spacegroup": "P4/mbm, No. 127",
  "final_energy_ev_per_atom": -4.509,
  "total_magnetization_mub_per_cell": 0.00,
  "cell": [[7.5994, 0.0000, 0.0000], [0.0000, 7.5994, 0.0000], [0.0000, 0.0000, 3.9677]],
  "species": ["Sc", "Sc", "Al", "Al", "Al", "Al", "Sb", "Sb", "Sb", "Sb"],
  "fractional_positions": [[0.0000, 0.0000, 0.0000], [0.5000, 0.5000, 0.0000], [0.1443, 0.3557, 0.5000], [0.3557, 0.8557, 0.5000], [0.6443, 0.1443, 0.5000], [0.8557, 0.6443, 0.5000], [0.1570, 0.6570, 0.0000], [0.3430, 0.1570, 0.0000], [0.6570, 0.8430, 0.0000], [0.8430, 0.3430, 0.0000]]
}

{
  "formula": "ScAlSb",
  "functional": "GGA-PBE",
  "state": "optimized geometry",
  "formation_energy_uncorrected_ev_per_atom": -0.23,
  "spacegroup": "P-6m2, No. 187",
  "final_energy_ev_per_atom": -4.959,
  "total_magnetization_mub_per_cell": 0.00,
  "cell": [[4.9414, 0.0000, 0.0000], [-2.4707, 4.2793, 0.0000], [0.0000, 0.0000, 3.0805]],
  "species": ["Sc", "Al", "Sb"],
  "fractional_positions": [[0.0000, 0.0000, 0.0000], [0.6667, 0.3333, 0.5000], [0.3333, 0.6667, 0.5000]]
}

{
  "formula": "ScAlSb",
  "functional": "GGA-PBE",
  "state": "optimized geometry",
  "formation_energy_uncorrected_ev_per_atom": -0.12,
  "spacegroup": "P3m1, No. 156",
  "final_energy_ev_per_atom": -4.855,
  "total_magnetization_mub_per_cell": 0.00,
  "cell": [[3.2780, 0.0000, 0.0000], [-1.6390, 2.8389, 0.0000], [0.0000, 0.0000, 7.2295]],
  "species": ["Sc", "Al", "Sb"],
  "fractional_positions": [[0.0000, 0.0000, 0.0000], [0.6667, 0.3333, 0.3121], [0.3333, 0.6667, 0.6625]]
}

{
  "formula": "ScAl3Sb",
  "functional": "GGA-PBE",
  "state": "optimized geometry",
  "formation_energy_uncorrected_ev_per_atom": 0.84,
  "polymorph_energy_mev_per_atom": 0,
  "spacegroup": "Pm-3m, No. 221",
  "final_energy_ev_per_atom": -3.498,
  "total_magnetization_mub_per_cell": 0.00,
  "cell": [[5.2116, 0.0000, 0.0000], [0.0000, 5.2116, 0.0000], [0.0000, 0.0000, 5.2116]],
  "species": ["Sc", "Al", "Al", "Al", "Sb"],
  "fractional_positions": [[0.0000, 0.0000, 0.0000], [0.0000, 0.5000, 0.5000], [0.5000, 0.0000, 0.5000], [0.5000, 0.5000, 0.0000], [0.5000, 0.5000, 0.5000]]
}

{
  "formula": "Sc5Al2Sb",
  "functional": "GGA-PBE",
  "state": "optimized geometry",
  "formation_energy_uncorrected_ev_per_atom": -0.51,
  "spacegroup": "I4/mcm, No. 140",
  "final_energy_ev_per_atom": -5.918,
  "total_magnetization_mub_per_cell": 0.00,
  "cell": [[-3.8292, 3.8292, 5.9718], [3.8292, -3.8292, 5.9718], [3.8292, 3.8292, -5.9718]],
  "species": ["Sc", "Sc", "Sc", "Sc", "Sc", "Sc", "Sc", "Sc", "Sc", "Sc", "Al", "Al", "Al", "Al", "Sb", "Sb"],
  "fractional_positions": [[0.0000, 0.0000, 0.0000], [0.0073, 0.5073, 0.8120], [0.1953, 0.0073, 0.5000], [0.3047, 0.8047, 0.8120], [0.4927, 0.3047, 0.5000], [0.5000, 0.5000, 0.0000], [0.5073, 0.6953, 0.5000], [0.6953, 0.1953, 0.1880], [0.8047, 0.9927, 0.5000], [0.9927, 0.4927, 0.1880], [0.1393, 0.3607, 0.5000], [0.3607, 0.8607, 0.2214], [0.6393, 0.1393, 0.7786], [0.8607, 0.6393, 0.5000], [0.2500, 0.2500, 0.0000], [0.7500, 0.7500, 0.0000]]
}

{
  "formula": "ScAl3Sb",
  "functional": "GGA-PBE",
  "state": "optimized geometry",
  "formation_energy_uncorrected_ev_per_atom": 0.91,
  "polymorph_energy_mev_per_atom": 74,
  "spacegroup": "Pm-3m, No. 221",
  "final_energy_ev_per_atom": -3.423,
  "total_magnetization_mub_per_cell": 1.09,
  "cell": [[5.2456, 0.0000, 0.0000], [0.0000, 5.2456, 0.0000], [0.0000, 0.0000, 5.2456]],
  "species": ["Sc", "Al", "Al", "Al", "Sb"],
  "fractional_positions": [[0.0000, 0.0000, 0.0000], [0.0000, 0.0000, 0.5000], [0.0000, 0.5000, 0.0000], [0.5000, 0.0000, 0.0000], [0.5000, 0.5000, 0.5000]]
}

{
  "formula": "Sc2AlSbTe",
  "functional": "GGA-PBE",
  "state": "optimized geometry",
  "formation_energy_uncorrected_ev_per_atom": 0.41,
  "spacegroup": "P4/mmm, No. 123",
  "final_energy_ev_per_atom": -4.329,
  "total_magnetization_mub_per_cell": 0.00,
  "cell": [[5.3811, 0.0000, 0.0000], [0.0000, 5.3811, 0.0000], [0.0000, 0.0000, 5.8071]],
  "species": ["Sc", "Sc", "Al", "Sb", "Te"],
  "fractional_positions": [[0.0000, 0.5000, 0.0000], [0.5000, 0.0000, 0.0000], [0.0000, 0.0000, 0.5000], [0.5000, 0.5000, 0.0000], [0.5000, 0.5000, 0.5000]]
}